An optimized crystal structure of BaTl2Cu2Br6, computed with PBE-GGA.

Summary:
**E_form (uncorrected)**: -953 meV per atom

abc: 7.8775 7.8775 8.4080
angles: 114.12 114.12 61.73
Closest atoms and distances in Å follow each position.
Fractional positions:
Ba1 0.0000 0.0000 0.0000  6 Br 3.22-3.25
Tl1 0.2284 0.2284 0.6822  5 Br 3.36-3.39
Tl2 0.7716 0.7716 0.3178  5 Br 3.36-3.39
Cu1 0.4599 0.4599 0.2793  3 Br 2.36-2.40
Cu2 0.5401 0.5401 0.7207  3 Br 2.36-2.40
Br1 0.1842 0.6673 0.6669  1 Cu 2.40
Br2 0.2624 0.2624 0.1066  1 Cu 2.36
Br3 0.3327 0.8158 0.3331  1 Cu 2.40
Br4 0.6673 0.1842 0.6669  1 Cu 2.40
Br5 0.7376 0.7376 0.8934  1 Cu 2.36
Br6 0.8158 0.3327 0.3331  1 Cu 2.40

An optimized crystal structure of Ba3Sr3In4, computed with PBE-GGA.

Summary:
**E_form**: -3.246 eV per formula unit

abc: 4.4726 9.6592 9.6592
angles: 90.01 90.00 90.00
Closest atoms and distances in Å follow each position.
Fractional positions:
Ba1 0.0000 0.0000 0.0000  6 In 3.63-3.65
Ba2 0.0000 0.1673 0.5058  6 In 3.65-3.66
Ba3 0.0000 0.5058 0.1673  6 In 3.65-3.66
Sr1 0.0000 0.6625 0.6625  6 In 3.51-3.56
Sr2 0.5000 0.3390 0.8346  4 In 3.70-3.99
Sr3 0.5000 0.8346 0.3390  4 In 3.70-3.99
In1 0.5000 0.2095 0.2095  1 In 3.49, 6 Ba 3.63-3.66, 2 Sr 3.83
In2 0.5000 0.4648 0.4648  1 In 3.49, 4 Sr 3.51-3.77, 4 Ba 3.66
In3 0.5000 0.7059 0.9461  1 In 3.28, 2 Sr 3.56, 4 Ba 3.65
In4 0.5000 0.9461 0.7059  1 In 3.28, 2 Sr 3.56, 4 Ba 3.65

An optimized crystal structure of BaCd2Au, computed with PBE-GGA.

Summary:
**E_form**: -1.100 eV per formula unit

abc: 4.6747 4.6747 5.4764
angles: 90.00 90.00 90.00
Closest atoms and distances in Å follow each position.
Fractional positions:
Ba1 0.0000 0.0000 0.0000  4 Au 3.31, 8 Cd 3.60
Cd1 0.0000 0.5000 0.5000  4 Cd 3.31, 4 Au 3.60, 4 Ba 3.60
Cd2 0.5000 0.0000 0.5000  4 Cd 3.31, 4 Au 3.60, 4 Ba 3.60
Au1 0.5000 0.5000 0.0000  4 Ba 3.31, 8 Cd 3.60

An optimized crystal structure of Tl5As4, computed with PBE-GGA.

Summary:
**E_form**: 1.969 eV per formula unit

abc: 8.4572 8.4572 7.8398
angles: 90.00 90.00 120.00
Closest atoms and distances in Å follow each position.
Fractional positions:
Tl1 0.0000 0.2576 0.2500  5 As 2.79-3.05
Tl2 0.0000 0.7424 0.7500  5 As 2.79-3.05
Tl3 0.2576 0.0000 0.2500  5 As 2.79-3.05
Tl4 0.2576 0.2576 0.7500  5 As 2.79-3.05
Tl5 0.3333 0.6667 0.0000  6 As 3.22
Tl6 0.3333 0.6667 0.5000  6 As 3.22
Tl7 0.6667 0.3333 0.0000  6 As 3.22
Tl8 0.6667 0.3333 0.5000  6 As 3.22
Tl9 0.7424 0.0000 0.7500  5 As 2.79-3.05
Tl10 0.7424 0.7424 0.2500  5 As 2.79-3.05
As1 0.0000 0.0000 0.0000  6 Tl 2.93
As2 0.0000 0.0000 0.5000  6 Tl 2.93
As3 0.0000 0.4123 0.7500  3 Tl 2.79-3.05
As4 0.0000 0.5877 0.2500  3 Tl 2.79-3.05
As5 0.4123 0.0000 0.7500  3 Tl 2.79-3.05
As6 0.4123 0.4123 0.2500  3 Tl 2.79-3.05
As7 0.5877 0.0000 0.2500  3 Tl 2.79-3.05
As8 0.5877 0.5877 0.7500  3 Tl 2.79-3.05

An optimized crystal structure of Pm8Si3Te4Se, computed with PBE-GGA.

Summary:
**E_form (uncorrected)**: -1293 meV per atom

abc: 8.8038 8.8038 8.8038
angles: 58.84 58.84 58.84
Closest atoms and distances in Å follow each position.
Fractional positions:
Pm1 0.2329 0.7447 0.7447  2 Si 2.95, 1 Se 3.02, 3 Te 3.16-3.23
Pm2 0.2412 0.2412 0.2412  3 Si 2.98, 3 Te 3.20
Pm3 0.2553 0.2553 0.7671  2 Si 2.95, 1 Se 3.02, 3 Te 3.16-3.23
Pm4 0.2553 0.7671 0.2553  2 Si 2.95, 1 Se 3.02, 3 Te 3.16-3.23
Pm5 0.7447 0.2329 0.7447  2 Si 2.95, 1 Se 3.02, 3 Te 3.16-3.23
Pm6 0.7447 0.7447 0.2329  2 Si 2.95, 1 Se 3.02, 3 Te 3.16-3.23
Pm7 0.7588 0.7588 0.7588  3 Si 2.98, 3 Te 3.20
Pm8 0.7671 0.2553 0.2553  2 Si 2.95, 1 Se 3.02, 3 Te 3.16-3.23
Si1 0.0000 0.0000 0.5000  6 Pm 2.95-2.98
Si2 0.0000 0.5000 0.0000  6 Pm 2.95-2.98
Si3 0.5000 0.0000 0.0000  6 Pm 2.95-2.98
Te1 0.0000 0.0000 0.0000  6 Pm 3.16
Te2 0.0000 0.5000 0.5000  6 Pm 3.20-3.23
Te3 0.5000 0.0000 0.5000  6 Pm 3.20-3.23
Te4 0.5000 0.5000 0.0000  6 Pm 3.20-3.23
Se1 0.5000 0.5000 0.5000  6 Pm 3.02

An optimized crystal structure of Rb2Ga2B2O7, computed with PBE-GGA.

Summary:
**E_form (uncorrected)**: -2148 meV per atom

abc: 8.9626 7.8634 12.2697
angles: 90.00 105.54 90.00
Closest atoms and distances in Å follow each position.
Fractional positions:
Rb1 0.0409 0.1293 0.1252  6 O 2.76-3.08
Rb2 0.0409 0.3707 0.6252  6 O 2.76-3.08
Rb3 0.4461 0.6254 0.8461  5 O 2.93-3.19
Rb4 0.4461 0.8746 0.3461  5 O 2.93-3.19
Rb5 0.5539 0.1254 0.6539  5 O 2.93-3.19
Rb6 0.5539 0.3746 0.1539  5 O 2.93-3.19
Rb7 0.9591 0.6293 0.3748  6 O 2.76-3.08
Rb8 0.9591 0.8707 0.8748  6 O 2.76-3.08
Ga1 0.1866 0.5659 0.1338  4 O 1.83-1.87
Ga2 0.1866 0.9341 0.6338  4 O 1.83-1.87
Ga3 0.3470 0.1211 0.8859  4 O 1.83-1.87
Ga4 0.3470 0.3789 0.3859  4 O 1.83-1.87
Ga5 0.6530 0.6211 0.6141  4 O 1.83-1.87
Ga6 0.6530 0.8789 0.1141  4 O 1.83-1.87
Ga7 0.8134 0.0659 0.3662  4 O 1.83-1.87
Ga8 0.8134 0.4341 0.8662  4 O 1.83-1.87
B1 0.1528 0.0958 0.4121  3 O 1.38-1.39
B2 0.1528 0.4042 0.9121  3 O 1.38-1.39
B3 0.3126 0.6337 0.5546  3 O 1.38-1.40
B4 0.3126 0.8663 0.0546  3 O 1.38-1.40
B5 0.6874 0.1337 0.9454  3 O 1.38-1.40
B6 0.6874 0.3663 0.4454  3 O 1.38-1.40
B7 0.8472 0.5958 0.0879  3 O 1.38-1.39
B8 0.8472 0.9042 0.5879  3 O 1.38-1.39
O1 0.0141 0.0143 0.3609  1 B 1.39
O2 0.0141 0.4857 0.8609  1 B 1.39
O3 0.1936 0.7064 0.5925  1 B 1.40
O4 0.1936 0.7936 0.0925  1 B 1.40
O5 0.2207 0.1896 0.3425  1 B 1.39
O6 0.2207 0.3104 0.8425  1 B 1.39
O7 0.2311 0.0775 0.5249  1 B 1.38
O8 0.2311 0.4225 0.0249  1 B 1.38
O9 0.2766 0.0205 0.0002  1 B 1.38
O10 0.2766 0.4795 0.5002  1 B 1.38
O11 0.3322 0.5274 0.2682  2 Ga 1.83
O12 0.3322 0.9726 0.7682  2 Ga 1.83
O13 0.4539 0.7149 0.5723  1 B 1.38
O14 0.4539 0.7851 0.0723  1 B 1.38
O15 0.5461 0.2149 0.9277  1 B 1.38
O16 0.5461 0.2851 0.4277  1 B 1.38
O17 0.6678 0.0274 0.2318  2 Ga 1.83
O18 0.6678 0.4726 0.7318  2 Ga 1.83
O19 0.7234 0.5205 0.4998  1 B 1.38
O20 0.7234 0.9795 0.9998  1 B 1.38
O21 0.7689 0.5775 0.9751  1 B 1.38
O22 0.7689 0.9225 0.4751  1 B 1.38
O23 0.7793 0.6896 0.1575  1 B 1.39
O24 0.7793 0.8104 0.6575  1 B 1.39
O25 0.8064 0.2064 0.9075  1 B 1.40
O26 0.8064 0.2936 0.4075  1 B 1.40
O27 0.9859 0.5143 0.1391  1 B 1.39
O28 0.9859 0.9857 0.6391  1 B 1.39

An optimized crystal structure of Ta2NbHPd, computed with PBE-GGA.

abc: 4.2919 4.2919 3.9103
angles: 90.00 90.00 90.00
Closest atoms and distances in Å follow each position.
Fractional positions:
Ta1 0.0000 0.5000 0.0000  2 H 2.15
Ta2 0.5000 0.0000 0.0000  2 H 2.15
Nb1 0.0000 0.0000 0.5000  2 H 1.96
H1 0.0000 0.0000 0.0000  2 Nb 1.96, 4 Ta 2.15
Pd1 0.5000 0.5000 0.5000  8 Ta 2.90, 4 Nb 3.03

An optimized crystal structure of UCoPt2, computed with PBE-GGA.

Summary:
**E_form**: -1.945 eV per formula unit

abc: 5.1378 5.1378 5.1378
angles: 135.17 135.17 65.26
Closest atoms and distances in Å follow each position.
Fractional positions:
U1 0.0000 0.0000 0.0000  4 Co 2.77, 8 Pt 2.92
Co1 0.5000 0.5000 0.0000  4 U 2.77, 8 Pt 2.92
Pt1 0.2500 0.7500 0.5000  4 Pt 2.77, 4 Co 2.92, 4 U 2.92
Pt2 0.7500 0.2500 0.5000  4 Pt 2.77, 4 Co 2.92, 4 U 2.92

An optimized crystal structure of MgSbW, computed with PBE-GGA.

Summary:
**E_form (uncorrected)**: 319 meV per atom

abc: 5.2851 5.2851 5.2851
angles: 141.65 141.65 55.36
Closest atoms and distances in Å follow each position.
Fractional positions:
Mg1 0.0000 0.0000 0.0000  5 W 2.93-3.08, 5 Sb 2.98-2.99
Sb1 0.3186 0.3186 0.0000  4 W 2.82, 5 Mg 2.98-2.99
W1 0.6710 0.6710 0.0000  4 Sb 2.82, 5 Mg 2.93-3.08

An optimized crystal structure of AcHg2Pt, computed with PBE-GGA.

Summary:
**E_form**: -2.532 eV per formula unit

abc: 5.7186 5.7186 8.8143
angles: 90.00 90.00 135.38
Closest atoms and distances in Å follow each position.
Fractional positions:
Ac1 0.0691 0.9309 0.7500  3 Pt 3.09
Ac2 0.9309 0.0691 0.2500  3 Pt 3.09
Hg1 0.3588 0.6412 0.5487  3 Pt 2.93-3.00, 3 Hg 3.11-3.28
Hg2 0.3588 0.6412 0.9513  3 Pt 2.93-3.00, 3 Hg 3.11-3.28
Hg3 0.6412 0.3588 0.0487  3 Pt 2.93-3.00, 3 Hg 3.11-3.28
Hg4 0.6412 0.3588 0.4513  3 Pt 2.93-3.00, 3 Hg 3.11-3.28
Pt1 0.2231 0.7769 0.2500  6 Hg 2.93-3.00, 3 Ac 3.09
Pt2 0.7769 0.2231 0.7500  6 Hg 2.93-3.00, 3 Ac 3.09

An optimized crystal structure of LiInTc2, computed with PBE-GGA.

Summary:
**E_form**: 1.552 eV per formula unit

abc: 3.2728 3.2728 5.8286
angles: 90.00 90.00 90.00
Closest atoms and distances in Å follow each position.
Fractional positions:
Li1 0.0000 0.0000 0.0000  8 Tc 2.58
In1 0.0000 0.0000 0.5000  2 Li 2.91, 8 Tc 2.92
Tc1 0.5000 0.5000 0.1950  1 Tc 2.27
Tc2 0.5000 0.5000 0.8050  1 Tc 2.27

An optimized crystal structure of CeTm3Co2, computed with PBE-GGA.

Summary:
**E_form**: -0.730 eV per formula unit

abc: 8.4152 8.4152 10.6187
angles: 116.93 116.93 26.16
Closest atoms and distances in Å follow each position.
Fractional positions:
Ce1 0.0913 0.0913 0.1601  3 Co 2.36-2.45
Ce2 0.9087 0.9087 0.8399  3 Co 2.36-2.45
Tm1 0.1643 0.1643 0.5201  3 Co 2.71-2.87
Tm2 0.2550 0.2550 0.8775  3 Co 2.77-2.78
Tm3 0.4510 0.4510 0.2638  3 Co 2.83
Tm4 0.5490 0.5490 0.7362  3 Co 2.83
Tm5 0.7450 0.7450 0.1225  3 Co 2.77-2.78
Tm6 0.8357 0.8357 0.4799  3 Co 2.71-2.87
Co1 0.1166 0.1166 0.9591  1 Ce 2.36
Co2 0.3615 0.3615 0.6762  2 Ce 2.45, 2 Tm 2.71
Co3 0.6385 0.6385 0.3238  2 Ce 2.45, 2 Tm 2.71
Co4 0.8834 0.8834 0.0409  1 Ce 2.36

| no. | total energy (eV/atom) |
| --- | --- |
| 1 | -3.22 |
| 2 | -2.50 |
| 3 | -2.03 |
| 4 | -3.16 |
| 5 | -5.69 |
| 6 | -6.46 |
| 7 | -8.55 |
| 8 | -8.11 |
| 9 | -5.90 |
| 10 | -3.32 |
| 11 | -5.96 |
| 12 | -5.72 |